No. 1
Ac2Zn4CdRh3: relaxed, GGA-PBE.

Cell: 4.2391 4.2391 11.4478 Å, 90.00 90.00 90.00°
Space group P-4m2 (No. 115)
One atom of each set of equivalent atoms:
1 Ac 0.0000 0.5000 0.2355 [2 per cell]
2 Zn 0.0000 0.0000 0.0000 [1 per cell]
3 Zn 0.0000 0.5000 0.6404 [2 per cell]
4 Zn 0.5000 0.5000 0.0000 [1 per cell]
5 Cd 0.0000 0.0000 0.5000 [1 per cell]
6 Rh 0.0000 0.5000 0.8664 [2 per cell]
7 Rh 0.5000 0.5000 0.5000 [1 per cell]

formation energy from the elements: -4.5 eV per formula unit
Fermi-level density of states: 5.05 states/eV/cell



No. 2
AcZnCd2Rh2: relaxed, GGA-PBE.

Cell: 5.3848 5.3848 10.2625 Å, 90.00 90.00 90.00°
Space group I4/mmm (No. 139)
One atom of each set of equivalent atoms:
1 Ac 0.0000 0.0000 0.0000 [2 per cell]
2 Zn 0.0000 0.0000 0.5000 [2 per cell]
3 Cd 0.0000 0.5000 0.2500 [4 per cell]
4 Rh 0.0000 0.0000 0.2632 [4 per cell]

formation energy from the elements: -0.9 eV per formula unit
Fermi-level density of states: 7.87 states/eV/cell



> Look up the Fermi-level density of states of the second one.

7.87 states/eV/cell